# 1
DFT (PBE) results for crystalline Li4Ca3Cd2 at its relaxed geometry.

Results
**ΔH_f (0 K)**: -0.14 eV/atom
**Crystal system**: monoclinic

Geometry as CIF:
```
data_Li4Ca3Cd2
_chemical_formula_sum 'Li4 Ca3 Cd2'
_cell_length_a 4.906
_cell_length_b 6.113
_cell_length_c 9.137
_cell_angle_alpha 106.05
_cell_angle_beta 90.00
_cell_angle_gamma 113.66
_symmetry_space_group_name_H-M 'P 1'
_symmetry_Int_Tables_number 1
loop_
_symmetry_equiv_pos_as_xyz
'x,y,z'
loop_
_atom_site_label
_atom_site_type_symbol
_atom_site_fract_x
_atom_site_fract_y
_atom_site_fract_z
Cd1 Cd 0.282 0.563 0.251
Ca1 Ca 0.616 0.231 0.370
Li1 Li 0.092 0.183 0.654
Li2 Li 0.908 0.817 0.346
Ca2 Ca 0.384 0.769 0.630
Ca3 Ca 0.000 0.000 0.000
Li3 Li 0.710 0.420 0.053
Cd2 Cd 0.718 0.437 0.749
Li4 Li 0.290 0.580 0.947
```

***

# 2
DFT (PBE) results for crystalline ScBr2 at its relaxed geometry.

Results
**Crystal system**: hexagonal
**E_form (uncorrected)**: -0.79 eV/atom

Geometry as CIF:
```
data_ScBr2
_chemical_formula_sum 'Sc4 Br8'
_cell_length_a 7.261
_cell_length_b 7.261
_cell_length_c 14.104
_cell_angle_alpha 90.00
_cell_angle_beta 90.00
_cell_angle_gamma 120.00
_symmetry_space_group_name_H-M 'P 1'
_symmetry_Int_Tables_number 1
loop_
_symmetry_equiv_pos_as_xyz
'x,y,z'
loop_
_atom_site_label
_atom_site_type_symbol
_atom_site_fract_x
_atom_site_fract_y
_atom_site_fract_z
Br1 Br 0.320 0.160 0.250
Sc1 Sc 0.667 0.333 0.153
Br2 Br 0.840 0.160 0.250
Sc2 Sc 0.333 0.667 0.653
Sc3 Sc 0.667 0.333 0.347
Br3 Br 0.000 0.000 0.500
Sc4 Sc 0.333 0.667 0.847
Br4 Br 0.680 0.840 0.750
Br5 Br 0.160 0.840 0.750
Br6 Br 0.160 0.320 0.750
Br7 Br 0.840 0.680 0.250
Br8 Br 0.000 0.000 0.000
```

***

# 3
DFT (PBE) results for crystalline CsLaCo3 at its relaxed geometry.

Results
**ΔH_f (0 K)**: 1.74 eV/atom
**Crystal system**: cubic

Geometry as CIF:
```
data_CsLaCo3
_chemical_formula_sum 'Cs1 La1 Co3'
_cell_length_a 4.788
_cell_length_b 4.788
_cell_length_c 4.788
_cell_angle_alpha 90.00
_cell_angle_beta 90.00
_cell_angle_gamma 90.00
_symmetry_space_group_name_H-M 'P 1'
_symmetry_Int_Tables_number 1
loop_
_symmetry_equiv_pos_as_xyz
'x,y,z'
loop_
_atom_site_label
_atom_site_type_symbol
_atom_site_fract_x
_atom_site_fract_y
_atom_site_fract_z
Co1 Co 0.000 0.000 0.500
Co2 Co 0.500 0.000 0.000
La1 La 0.500 0.500 0.500
Co3 Co 0.000 0.500 0.000
Cs1 Cs 0.000 0.000 0.000
```

***

# 4
DFT (PBE) results for crystalline Mg2TaFe at its relaxed geometry.

Results
**ΔH_f (0 K)**: 0.34 eV/atom
**Crystal system**: trigonal

Geometry as CIF:
```
data_Mg2TaFe
_chemical_formula_sum 'Mg2 Ta1 Fe1'
_cell_length_a 9.914
_cell_length_b 9.914
_cell_length_c 9.914
_cell_angle_alpha 16.64
_cell_angle_beta 16.64
_cell_angle_gamma 16.64
_symmetry_space_group_name_H-M 'P 1'
_symmetry_Int_Tables_number 1
loop_
_symmetry_equiv_pos_as_xyz
'x,y,z'
loop_
_atom_site_label
_atom_site_type_symbol
_atom_site_fract_x
_atom_site_fract_y
_atom_site_fract_z
Mg1 Mg 0.007 0.007 0.007
Mg2 Mg 0.493 0.493 0.493
Ta1 Ta 0.250 0.250 0.250
Fe1 Fe 0.750 0.750 0.750
```

***

# 5
DFT (PBE) results for crystalline EuTm2Mg at its relaxed geometry.

Results
**ΔH_f (0 K)**: 0.10 eV/atom
**Crystal system**: cubic

Geometry as CIF:
```
data_EuTm2Mg
_chemical_formula_sum 'Eu1 Tm2 Mg1'
_cell_length_a 5.531
_cell_length_b 5.531
_cell_length_c 5.531
_cell_angle_alpha 60.00
_cell_angle_beta 60.00
_cell_angle_gamma 60.00
_symmetry_space_group_name_H-M 'P 1'
_symmetry_Int_Tables_number 1
loop_
_symmetry_equiv_pos_as_xyz
'x,y,z'
loop_
_atom_site_label
_atom_site_type_symbol
_atom_site_fract_x
_atom_site_fract_y
_atom_site_fract_z
Mg1 Mg 0.500 0.500 0.500
Tm1 Tm 0.250 0.250 0.250
Eu1 Eu 0.000 0.000 0.000
Tm2 Tm 0.750 0.750 0.750
```

***

# 6
DFT (PBE) results for crystalline Tb6PrEr3Sc2 at its relaxed geometry.

Results
**ΔH_f (0 K)**: 0.04 eV/atom
**Crystal system**: monoclinic

Geometry as CIF:
```
data_Tb6PrEr3Sc2
_chemical_formula_sum 'Tb6 Pr1 Er3 Sc2'
_cell_length_a 6.079
_cell_length_b 6.079
_cell_length_c 11.628
_cell_angle_alpha 94.98
_cell_angle_beta 94.98
_cell_angle_gamma 119.96
_symmetry_space_group_name_H-M 'P 1'
_symmetry_Int_Tables_number 1
loop_
_symmetry_equiv_pos_as_xyz
'x,y,z'
loop_
_atom_site_label
_atom_site_type_symbol
_atom_site_fract_x
_atom_site_fract_y
_atom_site_fract_z
Pr1 Pr 0.000 0.000 0.000
Tb1 Tb 0.747 0.747 0.248
Tb2 Tb 0.916 0.580 0.752
Tb3 Tb 0.084 0.420 0.248
Sc1 Sc 0.333 0.667 0.000
Tb4 Tb 0.253 0.253 0.752
Tb5 Tb 0.580 0.916 0.752
Sc2 Sc 0.667 0.333 0.000
Er1 Er 0.167 0.833 0.500
Er2 Er 0.833 0.167 0.500
Tb6 Tb 0.420 0.084 0.248
Er3 Er 0.500 0.500 0.500
```

***

# 7
DFT (PBE) results for crystalline Ti3Ni2 at its relaxed geometry.

Results
**ΔH_f (0 K)**: -0.29 eV/atom
**Crystal system**: tetragonal

Geometry as CIF:
```
data_Ti3Ni2
_chemical_formula_sum 'Ti6 Ni4'
_cell_length_a 3.015
_cell_length_b 3.015
_cell_length_c 15.760
_cell_angle_alpha 90.00
_cell_angle_beta 90.00
_cell_angle_gamma 90.00
_symmetry_space_group_name_H-M 'P 1'
_symmetry_Int_Tables_number 1
loop_
_symmetry_equiv_pos_as_xyz
'x,y,z'
loop_
_atom_site_label
_atom_site_type_symbol
_atom_site_fract_x
_atom_site_fract_y
_atom_site_fract_z
Ti1 Ti 0.000 0.000 0.689
Ni1 Ni 0.500 0.500 0.599
Ti2 Ti 0.000 0.000 0.311
Ti3 Ti 0.000 0.000 0.119
Ni2 Ni 0.500 0.500 0.216
Ti4 Ti 0.000 0.000 0.500
Ti5 Ti 0.000 0.000 0.881
Ni3 Ni 0.500 0.500 0.784
Ni4 Ni 0.500 0.500 0.401
Ti6 Ti 0.500 0.500 0.000
```

***

# 8
DFT (PBE) results for crystalline Na2Zn3AgSb4 at its relaxed geometry.

Results
**Crystal system**: tetragonal
**E_form (uncorrected)**: -0.14 eV/atom

Geometry as CIF:
```
data_Na2Zn3AgSb4
_chemical_formula_sum 'Na2 Zn3 Ag1 Sb4'
_cell_length_a 4.727
_cell_length_b 4.727
_cell_length_c 11.420
_cell_angle_alpha 90.00
_cell_angle_beta 90.00
_cell_angle_gamma 90.00
_symmetry_space_group_name_H-M 'P 1'
_symmetry_Int_Tables_number 1
loop_
_symmetry_equiv_pos_as_xyz
'x,y,z'
loop_
_atom_site_label
_atom_site_type_symbol
_atom_site_fract_x
_atom_site_fract_y
_atom_site_fract_z
Zn1 Zn 0.500 0.000 0.866
Ag1 Ag 0.500 0.500 0.500
Sb1 Sb 0.500 0.500 0.000
Na1 Na 0.000 0.500 0.729
Sb2 Sb 0.000 0.500 0.363
Sb3 Sb 0.000 0.000 0.000
Sb4 Sb 0.500 0.000 0.637
Zn2 Zn 0.000 0.500 0.134
Zn3 Zn 0.000 0.000 0.500
Na2 Na 0.500 0.000 0.271
```

***

no.,size of the total moment (μB/f.u.)
1,0.00
2,0.00
3,1.00
4,2.43
5,7.03
6,0.00
7,0.00
8,0.00